No. 1
Entry from Alexandria via LeMat-Bulk: an optimized crystal structure of FeCo2NiTe6 (PBE-GGA).

Computed properties:
formation energy from raw total energies = -0.0600 eV/atom
size of the total moment = 1.54 μB per formula unit
theoretical density = 7.69 Mg/m³

abc: 8.3365 8.3365 6.6290
angles: 103.16 103.16 95.75
With the nearest neighbours (Å) after each atom.
Element x y z (fractional)
Fe (0.2487, 0.7513, 0.7500)  6 Te 2.57-2.70
Fe (0.7513, 0.2487, 0.2500)  6 Te 2.57-2.70
Co (0.2817, 0.4745, 0.2728)  5 Te 2.46-2.62
Co (0.4745, 0.2817, 0.7728)  5 Te 2.46-2.62
Co (0.5255, 0.7183, 0.2272)  5 Te 2.46-2.62
Co (0.7183, 0.5255, 0.7272)  5 Te 2.46-2.62
Ni (0.0715, 0.9285, 0.2500)  6 Te 2.56-2.64
Ni (0.9285, 0.0715, 0.7500)  6 Te 2.56-2.64
Te (0.0482, 0.2196, 0.1602)  1 Co 2.58, 2 Ni 2.63-2.64, 1 Fe 2.70
Te (0.0748, 0.6525, 0.3582)  1 Co 2.46, 1 Ni 2.56, 1 Fe 2.57
Te (0.2196, 0.0482, 0.6602)  1 Co 2.58, 2 Ni 2.63-2.64, 1 Fe 2.70
Te (0.3048, 0.4992, 0.9148)  3 Co 2.48-2.62, 1 Fe 2.62
Te (0.3475, 0.9252, 0.1418)  1 Co 2.46, 1 Ni 2.56, 1 Fe 2.57
Te (0.4992, 0.3048, 0.4148)  3 Co 2.48-2.62, 1 Fe 2.62
Te (0.5008, 0.6952, 0.5852)  3 Co 2.48-2.62, 1 Fe 2.62
Te (0.6525, 0.0748, 0.8582)  1 Co 2.46, 1 Ni 2.56, 1 Fe 2.57
Te (0.6952, 0.5008, 0.0852)  3 Co 2.48-2.62, 1 Fe 2.62
Te (0.7804, 0.9518, 0.3398)  1 Co 2.58, 2 Ni 2.63-2.64, 1 Fe 2.70
Te (0.9252, 0.3475, 0.6418)  1 Co 2.46, 1 Ni 2.56, 1 Fe 2.57
Te (0.9518, 0.7804, 0.8398)  1 Co 2.58, 2 Ni 2.63-2.64, 1 Fe 2.70

No. 2
Entry from Alexandria via LeMat-Bulk: an optimized crystal structure of TlFe2CoNi (PBE-GGA).

Computed properties:
energy of formation = 1.17 eV/atom
size of the total moment = 8.35 μB per formula unit
theoretical density = 7.88 Mg/m³

abc: 4.3815 4.3815 4.7616
angles: 90.00 90.00 90.00
With the nearest neighbours (Å) after each atom.
Element x y z (fractional)
Tl (0.0000, 0.0000, 0.0000)  2 Ni 2.38
Fe (0.0000, 0.5000, 0.5000)  2 Ni 2.19
Fe (0.5000, 0.0000, 0.5000)  2 Ni 2.19
Co (0.5000, 0.5000, 0.0000)  4 Tl 3.10, 8 Fe 3.24
Ni (0.0000, 0.0000, 0.5000)  4 Fe 2.19, 2 Tl 2.38

No. 3
Entry from Alexandria via LeMat-Bulk: an optimized crystal structure of UFeCoNi (PBE-GGA).

Computed properties:
energy of formation = 0.05 eV/atom
size of the total moment = 0.21 μB per formula unit
excess energy over the best structure of this formula in the dataset = 273 meV per atom
theoretical density = 12.60 Mg/m³

abc: 6.0084 6.0084 6.0084
angles: 90.00 90.00 90.00
With the nearest neighbours (Å) after each atom.
Element x y z (fractional)
U (0.0000, 0.0000, 0.0000)  4 Fe 2.60, 4 Co 2.60
U (0.0000, 0.5000, 0.5000)  4 Fe 2.60, 4 Co 2.60
U (0.5000, 0.0000, 0.5000)  4 Fe 2.60, 4 Co 2.60
U (0.5000, 0.5000, 0.0000)  4 Fe 2.60, 4 Co 2.60
Fe (0.2500, 0.2500, 0.7500)  4 Ni 2.60, 4 U 2.60
Fe (0.2500, 0.7500, 0.2500)  4 Ni 2.60, 4 U 2.60
Fe (0.7500, 0.2500, 0.2500)  4 Ni 2.60, 4 U 2.60
Fe (0.7500, 0.7500, 0.7500)  4 Ni 2.60, 4 U 2.60
Co (0.2500, 0.2500, 0.2500)  4 Ni 2.60, 4 U 2.60
Co (0.2500, 0.7500, 0.7500)  4 Ni 2.60, 4 U 2.60
Co (0.7500, 0.2500, 0.7500)  4 Ni 2.60, 4 U 2.60
Co (0.7500, 0.7500, 0.2500)  4 Ni 2.60, 4 U 2.60
Ni (0.0000, 0.0000, 0.5000)  4 Fe 2.60, 4 Co 2.60
Ni (0.0000, 0.5000, 0.0000)  4 Fe 2.60, 4 Co 2.60
Ni (0.5000, 0.0000, 0.0000)  4 Fe 2.60, 4 Co 2.60
Ni (0.5000, 0.5000, 0.5000)  4 Fe 2.60, 4 Co 2.60